## 1
The following is a GGA-PBE calculation of an optimized crystal structure of Ac2Ga3, from the Alexandria database.

Lattice parameters (Å, degrees): 6.0754 6.2459 8.1958 90.00 90.00 119.10
Atoms (fractional coordinates):
Ac (0.8436, 0.6871, 0.3991)
Ac (0.3436, 0.6871, 0.1009)
Ac (0.6564, 0.3129, 0.8991)
Ac (0.1564, 0.3129, 0.6009)
Ga (0.1523, 0.8047, 0.7500)
Ga (0.0000, 0.0000, 0.0000)
Ga (0.6523, 0.8047, 0.7500)
Ga (0.5000, 0.0000, 0.5000)
Ga (0.3477, 0.1953, 0.2500)
Ga (0.8477, 0.1953, 0.2500)

Values from the calculation:
The calculation puts the density at 8.1 g/cm3.

## 2
The following is a GGA-PBE calculation of an optimized crystal structure of Ac2Ga3, from the Alexandria database.

Lattice parameters (Å, degrees): 4.6937 4.3887 13.8901 90.00 99.73 90.00
Atoms (fractional coordinates):
Ga (0.8840, 0.7500, 0.7679)
Ga (0.1685, 0.7500, 0.3370)
Ga (0.9769, 0.7500, 0.9539)
Ga (0.0231, 0.2500, 0.0461)
Ga (0.8315, 0.2500, 0.6630)
Ga (0.1160, 0.2500, 0.2321)
Ac (0.2979, 0.7500, 0.5958)
Ac (0.5711, 0.7500, 0.1423)
Ac (0.7021, 0.2500, 0.4042)
Ac (0.4289, 0.2500, 0.8577)

Values from the calculation:
The calculation puts the density at 7.8 g/cm3.

Energies in eV/atom, measured from the most stable structure: 1 0.094; 2 0.000.

## 1
The following is a GGA-PBE calculation of an optimized crystal structure of AcGa5, from the Alexandria database.

Lattice parameters (Å, degrees): 4.6708 4.6708 6.8709 90.00 90.00 120.00
Atoms (fractional coordinates):
Ga (0.1669, 0.3337, 0.1990)
Ga (0.8335, 0.6671, 0.1985)
Ga (0.5000, 0.0000, 0.0000)
Ga (0.1665, 0.3329, 0.8015)
Ga (0.8331, 0.6663, 0.8010)
Ac (0.5000, 0.0000, 0.5000)

Values from the calculation:
The calculation puts the density at 7.4 g/cm3.

## 2
The following is a GGA-PBE calculation of an optimized crystal structure of AcGa5, from the Alexandria database.

Lattice parameters (Å, degrees): 4.6536 4.5593 6.7412 109.77 90.00 90.00
Atoms (fractional coordinates):
Ac (0.0000, 0.0000, 0.0000)
Ga (0.5000, 0.5000, 0.0000)
Ga (0.5000, 0.1813, 0.3626)
Ga (0.0000, 0.6909, 0.3818)
Ga (0.0000, 0.3091, 0.6182)
Ga (0.5000, 0.8187, 0.6374)

Values from the calculation:
The calculation puts the density at 7.1 g/cm3.

Energies in eV/atom, measured from the most stable structure: 1 0.000; 2 0.115.

## 1
The following is a GGA-PBE calculation of an optimized crystal structure of Ac4GaGe2, from the Alexandria database.

Lattice parameters (Å, degrees): 5.6887 5.6887 9.3078 107.79 107.79 90.00
Atoms (fractional coordinates):
Ac (0.8097, 0.8097, 0.6194)
Ac (0.0000, 0.5000, 0.0000)
Ac (0.1903, 0.1903, 0.3806)
Ac (0.5000, 0.0000, 0.0000)
Ge (0.6239, 0.6239, 0.2477)
Ge (0.3761, 0.3761, 0.7523)
Ga (0.0000, 0.0000, 0.0000)

Values from the calculation:
The calculation puts the density at 6.9 g/cm3.

## 2
The following is a GGA-PBE calculation of an optimized crystal structure of Ac4GaGe2, from the Alexandria database.

Lattice parameters (Å, degrees): 4.5332 8.1467 8.3584 117.13 105.73 90.00
Atoms (fractional coordinates):
Ac (0.6228, 0.3234, 0.2455)
Ac (0.3772, 0.6766, 0.7545)
Ac (0.1359, 0.7956, 0.2717)
Ac (0.8641, 0.2044, 0.7283)
Ga (0.0000, 0.0000, 0.0000)
Ge (0.2343, 0.2360, 0.4686)
Ge (0.7657, 0.7640, 0.5314)

Values from the calculation:
The calculation puts the density at 7.1 g/cm3.

Energies in eV/atom, measured from the most stable structure: 1 0.314; 2 0.000.